Record 1
## Ca3Ho3ZnSe8 (GGA-PBE)

Data for a relaxed Ca3Ho3ZnSe8 crystal.

```
Ca3Ho3ZnSe8
1.0
4.074 2.352 6.806
-4.074 2.352 6.806
0.000 -4.704 6.806
Ca Ho Zn Se
3 3 1 8
direct
0.000 0.500 0.500 Ca
0.500 0.000 0.500 Ca
0.500 0.500 0.000 Ca
0.000 0.000 0.500 Ho
0.000 0.500 0.000 Ho
0.500 0.000 0.000 Ho
0.500 0.500 0.500 Zn
0.248 0.248 0.248 Se
0.254 0.739 0.739 Se
0.261 0.261 0.746 Se
0.261 0.746 0.261 Se
0.739 0.254 0.739 Se
0.739 0.739 0.254 Se
0.746 0.261 0.261 Se
0.752 0.752 0.752 Se
```

Properties
Crystal system: trigonal
Magnetization: 0.0 μB per formula unit
Total energy: -74.36 eV/cell
Symmetry: R-3m, No. 166

---

Record 2
## Tl2As (GGA-PBE)

Data for a relaxed Tl2As crystal.

```
Tl2As
1.0
5.283 0.000 0.000
0.000 5.283 0.000
0.000 0.000 3.469
Tl As
2 1
direct
0.000 0.500 0.000 Tl
0.500 0.000 0.000 Tl
0.000 0.000 0.500 As
```

Properties
Distance to the lowest polymorph of the same formula: 185 meV per atom
Crystal system: tetragonal
Magnetization: 0.0 μB per formula unit
Total energy: -8.77 eV/cell
Symmetry: P4/mmm, No. 123
ΔE_f: 205.1 meV per atom

---

Record 3
## Ce2NdMg (GGA-PBE)

Data for a relaxed Ce2NdMg crystal.

```
Ce2NdMg
1.0
7.874 0.000 0.000
0.000 7.874 0.000
0.000 0.000 7.874
Ce Nd Mg
8 4 4
direct
0.250 0.250 0.250 Ce
0.250 0.250 0.750 Ce
0.250 0.750 0.250 Ce
0.250 0.750 0.750 Ce
0.750 0.250 0.250 Ce
0.750 0.250 0.750 Ce
0.750 0.750 0.250 Ce
0.750 0.750 0.750 Ce
0.000 0.000 0.000 Nd
0.000 0.500 0.500 Nd
0.500 0.000 0.500 Nd
0.500 0.500 0.000 Nd
0.000 0.000 0.500 Mg
0.000 0.500 0.000 Mg
0.500 0.000 0.000 Mg
0.500 0.500 0.500 Mg
```

Properties
Distance to the lowest polymorph of the same formula: 100 meV per atom
Crystal system: cubic
Magnetization: 2.6 μB per formula unit
Total energy: -69.71 eV/cell
Symmetry: Fm-3m, No. 225
ΔE_f: 200.6 meV per atom

---

Record 4
## Ba2PPd6Au (GGA-PBE)

Data for a relaxed Ba2PPd6Au crystal.

```
Ba2PPd6Au
1.0
5.801 0.000 0.000
2.889 5.798 0.000
2.897 1.005 6.645
Ba P Pd Au
2 1 6 1
direct
0.223 0.230 0.324 Ba
0.777 0.770 0.676 Ba
0.000 0.000 0.000 P
0.236 0.239 0.811 Pd
0.245 0.632 0.878 Pd
0.287 0.761 0.189 Pd
0.713 0.239 0.811 Pd
0.755 0.368 0.122 Pd
0.764 0.761 0.189 Pd
0.500 0.500 0.500 Au
```

Properties
Crystal system: triclinic
Magnetization: 0.0 μB per formula unit
Total energy: -49.57 eV/cell
Symmetry: P-1, No. 2
ΔE_f: -588.2 meV per atom

---

Record 5
## Rb2Ba2IrO6 (GGA-PBE)

Data for a relaxed Rb2Ba2IrO6 crystal.

```
Rb2Ba2IrO6
1.0
3.269 -5.466 0.000
3.269 5.466 0.000
-1.645 0.000 6.645
Rb Ba Ir O
2 2 1 6
direct
0.155 0.845 0.000 Rb
0.845 0.155 0.000 Rb
0.338 0.662 0.500 Ba
0.662 0.338 0.500 Ba
0.000 0.000 0.500 Ir
0.041 0.303 0.665 O
0.199 0.199 0.320 O
0.303 0.041 0.665 O
0.697 0.959 0.335 O
0.801 0.801 0.680 O
0.959 0.697 0.335 O
```

Properties
Crystal system: monoclinic
Magnetization: 3.0 μB per formula unit
Total energy: -61.99 eV/cell
Symmetry: C2/m, No. 12

---

Record 6
## LiIn2F4 (GGA-PBE)

Data for a relaxed LiIn2F4 crystal.

```
LiIn2F4
1.0
3.891 0.000 0.000
0.000 3.891 0.000
0.000 0.000 13.134
Li In F
2 4 8
direct
0.000 0.000 0.000 Li
0.500 0.500 0.500 Li
0.000 0.000 0.361 In
0.000 0.000 0.639 In
0.500 0.500 0.139 In
0.500 0.500 0.861 In
0.000 0.000 0.169 F
0.000 0.000 0.831 F
0.000 0.500 0.000 F
0.000 0.500 0.500 F
0.500 0.000 0.000 F
0.500 0.000 0.500 F
0.500 0.500 0.331 F
0.500 0.500 0.669 F
```

Properties
Crystal system: tetragonal
Magnetization: 0.0 μB per formula unit
Total energy: -58.59 eV/cell
Symmetry: I4/mmm, No. 139

---

Record 7
## Be2CoRh3 (GGA-PBE)

Data for a relaxed Be2CoRh3 crystal.

```
Be2CoRh3
1.0
2.786 0.000 0.000
0.000 2.786 0.000
0.000 0.000 8.886
Be Co Rh
2 1 3
direct
0.000 0.000 0.153 Be
0.000 0.000 0.847 Be
0.000 0.000 0.500 Co
0.500 0.500 0.000 Rh
0.500 0.500 0.312 Rh
0.500 0.500 0.688 Rh
```

Properties
Crystal system: tetragonal
Magnetization: 2.8 μB per formula unit
Total energy: -38.89 eV/cell
Symmetry: P4/mmm, No. 123
ΔE_f: -379.7 meV per atom

---

Record 8
## AlRh5 (GGA-PBE)

Data for a relaxed AlRh5 crystal.

```
AlRh5
1.0
8.597 0.000 0.000
0.000 3.857 0.000
-1.759 0.000 5.112
Al Rh
2 10
direct
0.000 0.000 0.000 Al
0.500 0.500 0.000 Al
0.000 0.000 0.500 Rh
0.164 0.500 0.329 Rh
0.170 0.500 0.833 Rh
0.330 0.000 0.167 Rh
0.336 0.000 0.671 Rh
0.500 0.500 0.500 Rh
0.664 0.000 0.329 Rh
0.670 0.000 0.833 Rh
0.830 0.500 0.167 Rh
0.836 0.500 0.671 Rh
```

Properties
Crystal system: monoclinic
Magnetization: 0.0 μB per formula unit
Total energy: -84.50 eV/cell
Symmetry: C2/m, No. 12
ΔE_f: -291.9 meV per atom